# 1
# FeSn2Ru, relaxed, DFT PBE
data_FeSn2Ru
_chemical_formula_sum 'Fe4 Sn8 Ru4'
_cell_length_a 5.9851
_cell_length_b 5.9851
_cell_length_c 11.7614
_cell_angle_alpha 90.00
_cell_angle_beta 90.00
_cell_angle_gamma 90.00
_space_group_name_H-M_alt 'I -4 2 d'
_space_group_IT_number 122
_space_group_name_Hall 'I -4 2bw'
loop_
_atom_site_label
_atom_site_type_symbol
_atom_site_fract_x
_atom_site_fract_y
_atom_site_fract_z
_atom_site_occupancy
Fe1 Fe 0.0000 0.0000 0.0000 1
Sn1 Sn 0.2450 0.2500 0.6250 1
Ru1 Ru 0.0000 0.0000 0.5000 1
# - formation energy from the elements (eV per atom) = 0.919
# - electronic total energy (eV for the cell shown) = -88.28
# - relative energy among the computed polymorphs (eV per atom) = 0.7844
# - size of the total moment (μB/cell) = 9.9



# 2
# UFeSnRu, relaxed, DFT PBE
data_UFeSnRu
_chemical_formula_sum 'U4 Fe4 Sn4 Ru4'
_cell_length_a 6.5765
_cell_length_b 6.5765
_cell_length_c 6.5765
_cell_angle_alpha 90.00
_cell_angle_beta 90.00
_cell_angle_gamma 90.00
_space_group_name_H-M_alt 'F -4 3 m'
_space_group_IT_number 216
_space_group_name_Hall 'F -4 2 3'
loop_
_atom_site_label
_atom_site_type_symbol
_atom_site_fract_x
_atom_site_fract_y
_atom_site_fract_z
_atom_site_occupancy
U1 U 0.0000 0.0000 0.0000 1
Fe1 Fe 0.2500 0.2500 0.2500 1
Sn1 Sn 0.0000 0.0000 0.5000 1
Ru1 Ru 0.2500 0.2500 0.7500 1
# - formation energy from the elements (eV per atom) = -0.084
# - electronic total energy (eV for the cell shown) = -133.46
# - size of the total moment (μB/cell) = 2.2



# 3
# Sr2FeRu, relaxed, DFT PBE
data_Sr2FeRu
_chemical_formula_sum 'Sr4 Fe2 Ru2'
_cell_length_a 6.9708
_cell_length_b 4.0267
_cell_length_c 8.8552
_cell_angle_alpha 90.00
_cell_angle_beta 105.61
_cell_angle_gamma 90.00
_space_group_name_H-M_alt 'C 1 m 1'
_space_group_IT_number 8
_space_group_name_Hall 'C -2y'
loop_
_atom_site_label
_atom_site_type_symbol
_atom_site_fract_x
_atom_site_fract_y
_atom_site_fract_z
_atom_site_occupancy
Sr1 Sr 0.0000 0.0000 0.0000 1
Sr2 Sr 0.1819 0.0000 0.5320 1
Fe1 Fe 0.2581 0.5000 0.2676 1
Ru1 Ru 0.4239 0.0000 0.2647 1
# - formation energy from the elements (eV per atom) = 0.204
# - electronic total energy (eV for the cell shown) = -40.57
# - relative energy among the computed polymorphs (eV per atom) = 0.0000
# - size of the total moment (μB/cell) = 0.9



# 4
# SrFeRu2, relaxed, DFT PBE
data_SrFeRu2
_chemical_formula_sum 'Sr1 Fe1 Ru2'
_cell_length_a 3.0389
_cell_length_b 4.7049
_cell_length_c 4.8236
_cell_angle_alpha 90.00
_cell_angle_beta 90.00
_cell_angle_gamma 90.00
_space_group_name_H-M_alt 'P m m m'
_space_group_IT_number 47
_space_group_name_Hall '-P 2 2'
loop_
_atom_site_label
_atom_site_type_symbol
_atom_site_fract_x
_atom_site_fract_y
_atom_site_fract_z
_atom_site_occupancy
Sr1 Sr 0.0000 0.0000 0.0000 1
Fe1 Fe 0.5000 0.0000 0.5000 1
Ru1 Ru 0.0000 0.5000 0.5000 1
Ru2 Ru 0.5000 0.5000 0.0000 1
# - formation energy from the elements (eV per atom) = 0.872
# - electronic total energy (eV for the cell shown) = -25.21
# - relative energy among the computed polymorphs (eV per atom) = 0.5638
# - size of the total moment (μB/cell) = 4.0



# 5
# SrFeRu3, relaxed, DFT PBE
data_SrFeRu3
_chemical_formula_sum 'Sr1 Fe1 Ru3'
_cell_length_a 4.7352
_cell_length_b 4.7352
_cell_length_c 4.7352
_cell_angle_alpha 90.00
_cell_angle_beta 90.00
_cell_angle_gamma 90.00
_space_group_name_H-M_alt 'P m -3 m'
_space_group_IT_number 221
_space_group_name_Hall '-P 4 2 3'
loop_
_atom_site_label
_atom_site_type_symbol
_atom_site_fract_x
_atom_site_fract_y
_atom_site_fract_z
_atom_site_occupancy
Sr1 Sr 0.0000 0.0000 0.0000 1
Fe1 Fe 0.5000 0.5000 0.5000 1
Ru1 Ru 0.0000 0.0000 0.5000 1
# - formation energy from the elements (eV per atom) = 3.172
# - electronic total energy (eV for the cell shown) = -22.11
# - relative energy among the computed polymorphs (eV per atom) = 2.2762
# - size of the total moment (μB/cell) = 0.1



# 6
# SrFeRu2, relaxed, DFT PBE
data_SrFeRu2
_chemical_formula_sum 'Sr4 Fe4 Ru8'
_cell_length_a 6.5068
_cell_length_b 6.5068
_cell_length_c 6.5068
_cell_angle_alpha 90.00
_cell_angle_beta 90.00
_cell_angle_gamma 90.00
_space_group_name_H-M_alt 'F -4 3 m'
_space_group_IT_number 216
_space_group_name_Hall 'F -4 2 3'
loop_
_atom_site_label
_atom_site_type_symbol
_atom_site_fract_x
_atom_site_fract_y
_atom_site_fract_z
_atom_site_occupancy
Sr1 Sr 0.0000 0.0000 0.0000 1
Fe1 Fe 0.2500 0.2500 0.2500 1
Ru1 Ru 0.0000 0.0000 0.5000 1
Ru2 Ru 0.2500 0.2500 0.7500 1
# - formation energy from the elements (eV per atom) = 0.825
# - electronic total energy (eV for the cell shown) = -101.58
# - relative energy among the computed polymorphs (eV per atom) = 0.5175
# - size of the total moment (μB/cell) = 13.0



# 7
# SrFeRu2, relaxed, DFT PBE
data_SrFeRu2
_chemical_formula_sum 'Sr3 Fe3 Ru6'
_cell_length_a 2.9944
_cell_length_b 2.9944
_cell_length_c 26.8017
_cell_angle_alpha 90.00
_cell_angle_beta 90.00
_cell_angle_gamma 120.00
_space_group_name_H-M_alt 'R -3 m'
_space_group_IT_number 166
_space_group_name_Hall '-R 3 2"'
loop_
_atom_site_label
_atom_site_type_symbol
_atom_site_fract_x
_atom_site_fract_y
_atom_site_fract_z
_atom_site_occupancy
Sr1 Sr 0.0000 0.0000 0.0000 1
Fe1 Fe 0.0000 0.0000 0.5000 1
Ru1 Ru 0.0000 0.0000 0.2359 1
# - formation energy from the elements (eV per atom) = 0.791
# - electronic total energy (eV for the cell shown) = -76.59
# - relative energy among the computed polymorphs (eV per atom) = 0.4832
# - size of the total moment (μB/cell) = 11.8



# 8
# SrFeRu2, relaxed, DFT PBE
data_SrFeRu2
_chemical_formula_sum 'Sr1 Fe1 Ru2'
_cell_length_a 2.9238
_cell_length_b 3.5772
_cell_length_c 7.1724
_cell_angle_alpha 90.00
_cell_angle_beta 90.00
_cell_angle_gamma 90.00
_space_group_name_H-M_alt 'P m m 2'
_space_group_IT_number 25
_space_group_name_Hall 'P 2 -2'
loop_
_atom_site_label
_atom_site_type_symbol
_atom_site_fract_x
_atom_site_fract_y
_atom_site_fract_z
_atom_site_occupancy
Sr1 Sr 0.0000 0.0000 0.0000 1
Fe1 Fe 0.5000 0.5000 0.3332 1
Ru1 Ru 0.0000 0.0000 0.5012 1
Ru2 Ru 0.5000 0.5000 0.6740 1
# - formation energy from the elements (eV per atom) = 0.515
# - electronic total energy (eV for the cell shown) = -26.64
# - relative energy among the computed polymorphs (eV per atom) = 0.2071
# - size of the total moment (μB/cell) = 3.0



> Which of these has the highest formation energy from the elements?

SrFeRu3



> formation energy from the elements of number 8 (SrFeRu2)?

0.515 eV per atom